Entry 1:
LiPbF3, relaxed, DFT PBE; energy above the most stable polymorph in this dataset = 0 meV/atom; total energy = -4.8162 eV per atom; V = 73.5 Å³/f.u.; formation energy without anion corrections = -2.569 eV/atom; total magnetic moment = 0.000 μB/cell; space-group type = P2_1/c; calculated density = 6.12 Mg/m³
1.0
-4.674 1.957 1.144
-2.772 -5.818 -1.373
1.918 -0.472 8.647
Li Pb F
4 4 12
direct
0.246 0.907 0.513 Li
0.754 0.093 0.487 Li
0.746 0.093 0.987 Li
0.254 0.907 0.013 Li
0.748 0.695 0.155 Pb
0.252 0.305 0.845 Pb
0.248 0.305 0.345 Pb
0.752 0.695 0.655 Pb
0.058 0.977 0.342 F
0.942 0.023 0.658 F
0.558 0.023 0.158 F
0.442 0.977 0.842 F
0.592 0.807 0.434 F
0.408 0.193 0.566 F
0.092 0.193 0.066 F
0.908 0.807 0.934 F
0.190 0.640 0.571 F
0.810 0.360 0.429 F
0.690 0.360 0.929 F
0.310 0.640 0.071 F

Entry 2:
Li2Pb3F8, relaxed, DFT PBE; total energy = -4.7552 eV per atom; V = 192.4 Å³/f.u.; formation energy without anion corrections = -2.453 eV/atom; total magnetic moment = 0.000 μB/cell; space-group type = R-3m; calculated density = 6.80 Mg/m³
1.0
5.741 0.000 0.000
2.871 4.972 0.000
2.871 1.657 6.740
Li Pb F
2 3 8
direct
0.593 0.593 0.221 Li
0.407 0.407 0.779 Li
0.000 0.000 0.000 Pb
0.797 0.797 0.610 Pb
0.203 0.203 0.390 Pb
0.683 0.683 0.952 F
0.317 0.317 0.048 F
0.214 0.739 0.308 F
0.739 0.214 0.308 F
0.739 0.739 0.308 F
0.261 0.786 0.692 F
0.786 0.261 0.692 F
0.261 0.261 0.692 F

Entry 3:
Li2PdPbF6, relaxed, DFT PBE; total energy = -4.5951 eV per atom; V = 150.7 Å³/f.u.; formation energy without anion corrections = -2.199 eV/atom; total magnetic moment = 0.392 μB/cell; space-group type = C2/c; calculated density = 4.86 Mg/m³
1.0
5.714 -0.417 -0.432
1.396 7.159 0.222
1.396 -0.043 7.163
Li Pd Pb F
4 2 2 12
direct
0.183 0.751 0.653 Li
0.317 0.347 0.249 Li
0.817 0.249 0.347 Li
0.683 0.653 0.751 Li
0.250 0.359 0.641 Pd
0.750 0.641 0.359 Pd
0.250 0.869 0.131 Pb
0.750 0.131 0.869 Pb
0.109 0.917 0.839 F
0.391 0.161 0.083 F
0.891 0.083 0.161 F
0.609 0.839 0.917 F
0.431 0.757 0.458 F
0.069 0.542 0.243 F
0.569 0.243 0.542 F
0.931 0.458 0.757 F
0.887 0.788 0.536 F
0.613 0.464 0.212 F
0.113 0.212 0.464 F
0.387 0.536 0.788 F

Entry 4:
LiPdPbF6, relaxed, DFT PBE; total energy = -4.4247 eV per atom; V = 138.3 Å³/f.u.; formation energy without anion corrections = -1.976 eV/atom; total magnetic moment = 2.000 μB/cell; space-group type = P4_2nm; calculated density = 5.22 Mg/m³
1.0
5.169 0.000 0.000
0.000 5.169 0.000
0.000 0.000 10.349
Li Pd Pb F
2 2 2 12
direct
0.500 0.500 0.184 Li
0.000 0.000 0.684 Li
0.500 0.500 0.502 Pd
0.000 0.000 0.002 Pd
0.500 0.500 0.832 Pb
0.000 0.000 0.332 Pb
0.230 0.770 0.507 F
0.770 0.230 0.507 F
0.270 0.270 0.007 F
0.730 0.730 0.007 F
0.206 0.794 0.149 F
0.794 0.206 0.149 F
0.294 0.294 0.649 F
0.706 0.706 0.649 F
0.827 0.173 0.835 F
0.173 0.827 0.835 F
0.673 0.673 0.335 F
0.327 0.327 0.335 F

Entry 5:
Li2PdPbF8, relaxed, DFT PBE; total energy = -4.2920 eV per atom; V = 186.6 Å³/f.u.; formation energy without anion corrections = -1.984 eV/atom; total magnetic moment = 0.093 μB/cell; space-group type = P-3m1; calculated density = 4.27 Mg/m³
1.0
-1.790 -4.000 -3.290
-0.099 -0.674 5.438
-6.613 2.776 0.224
Li Pd Pb F
2 1 1 8
direct
0.333 0.667 0.726 Li
0.667 0.333 0.274 Li
0.000 0.000 0.000 Pd
0.000 0.000 0.500 Pb
0.155 0.309 0.823 F
0.155 0.845 0.823 F
0.691 0.845 0.823 F
0.309 0.155 0.177 F
0.667 0.333 0.520 F
0.333 0.667 0.480 F
0.845 0.691 0.177 F
0.845 0.155 0.177 F

Entry 6:
LiPuPbF6, relaxed, DFT PBE; total energy = -6.4575 eV per atom; V = 151.1 Å³/f.u.; formation energy without anion corrections = -2.993 eV/atom; total magnetic moment = 10.000 μB/cell; space-group type = P-31c; calculated density = 6.29 Mg/m³
1.0
5.773 0.000 0.000
-2.887 5.000 0.000
0.000 0.000 10.469
Li Pu Pb F
2 2 2 12
direct
0.333 0.667 0.250 Li
0.667 0.333 0.750 Li
0.667 0.333 0.250 Pu
0.333 0.667 0.750 Pu
0.000 0.000 0.000 Pb
0.000 0.000 0.500 Pb
0.637 0.661 0.140 F
0.024 0.363 0.140 F
0.363 0.024 0.640 F
0.976 0.637 0.860 F
0.339 0.363 0.360 F
0.024 0.661 0.360 F
0.661 0.024 0.860 F
0.637 0.976 0.360 F
0.976 0.339 0.640 F
0.339 0.976 0.140 F
0.661 0.637 0.640 F
0.363 0.339 0.860 F